1.
# PBE HAuO2, optimized geometry
data_HAuO2
_chemical_formula_sum 'H2 Au2 O4'
_cell_length_a 4.8824
_cell_length_b 4.8824
_cell_length_c 4.8824
_cell_angle_alpha 124.37
_cell_angle_beta 124.37
_cell_angle_gamma 82.58
_symmetry_space_group_name_H-M 'P 1'
_symmetry_Int_Tables_number 1
_symmetry_space_group_name_Hall 'P 1'
loop_
_atom_site_label
_atom_site_type_symbol
_atom_site_fract_x
_atom_site_fract_y
_atom_site_fract_z
H1 H 0.0000 0.0000 0.0000
H2 H 0.7500 0.2500 0.5000
Au1 Au 0.2500 0.7500 0.5000
Au2 Au 0.5000 0.5000 0.0000
O1 O 0.0283 0.6250 0.9033
O2 O 0.3750 0.2783 0.4033
O3 O 0.7217 0.1250 0.0967
O4 O 0.8750 0.9717 0.5967
# ΔE to the lowest computed polymorph = 0.871 eV/atom
# crystal system = tetragonal
# size of the total moment = 0.00 μB/f.u.
# E = -3.68 eV/atom



2.
# PBE LiMnB2Se, optimized geometry
data_LiMnB2Se
_chemical_formula_sum 'Li1 Mn1 B2 Se1'
_cell_length_a 4.2239
_cell_length_b 4.2239
_cell_length_c 4.5921
_cell_angle_alpha 90.00
_cell_angle_beta 90.00
_cell_angle_gamma 90.00
_symmetry_space_group_name_H-M 'P 1'
_symmetry_Int_Tables_number 1
_symmetry_space_group_name_Hall 'P 1'
loop_
_atom_site_label
_atom_site_type_symbol
_atom_site_fract_x
_atom_site_fract_y
_atom_site_fract_z
Li1 Li 0.0000 0.0000 0.0000
Mn1 Mn 0.5000 0.5000 0.0000
B1 B 0.0000 0.5000 0.5000
B2 B 0.5000 0.0000 0.5000
Se1 Se 0.5000 0.5000 0.5000
# formation energy without anion corrections = 1.48 eV/atom
# crystal system = tetragonal
# size of the total moment = 3.37 μB/f.u.
# E = -4.11 eV/atom



3.
# PBE Sr2TaCu2O6, optimized geometry
data_Sr2TaCu2O6
_chemical_formula_sum 'Sr2 Ta1 Cu2 O6'
_cell_length_a 6.2204
_cell_length_b 6.2204
_cell_length_c 6.2204
_cell_angle_alpha 57.02
_cell_angle_beta 57.02
_cell_angle_gamma 57.02
_symmetry_space_group_name_H-M 'P 1'
_symmetry_Int_Tables_number 1
_symmetry_space_group_name_Hall 'P 1'
loop_
_atom_site_label
_atom_site_type_symbol
_atom_site_fract_x
_atom_site_fract_y
_atom_site_fract_z
Sr1 Sr 0.2160 0.2160 0.2160
Sr2 Sr 0.7840 0.7840 0.7840
Ta1 Ta 0.0000 0.0000 0.0000
Cu1 Cu 0.4179 0.4179 0.4179
Cu2 Cu 0.5821 0.5821 0.5821
O1 O 0.2195 0.7681 0.7681
O2 O 0.2319 0.2319 0.7805
O3 O 0.2319 0.7805 0.2319
O4 O 0.7681 0.2195 0.7681
O5 O 0.7681 0.7681 0.2195
O6 O 0.7805 0.2319 0.2319
# formation energy without anion corrections = -2.05 eV/atom
# crystal system = trigonal
# size of the total moment = 1.07 μB/f.u.
# E = -6.88 eV/atom



4.
# PBE YLuSe3, optimized geometry
data_YLuSe3
_chemical_formula_sum 'Y2 Lu2 Se6'
_cell_length_a 7.6321
_cell_length_b 7.6321
_cell_length_c 7.6321
_cell_angle_alpha 55.68
_cell_angle_beta 55.68
_cell_angle_gamma 55.68
_symmetry_space_group_name_H-M 'P 1'
_symmetry_Int_Tables_number 1
_symmetry_space_group_name_Hall 'P 1'
loop_
_atom_site_label
_atom_site_type_symbol
_atom_site_fract_x
_atom_site_fract_y
_atom_site_fract_z
Y1 Y 0.0000 0.0000 0.0000
Y2 Y 0.5000 0.5000 0.5000
Lu1 Lu 0.1949 0.1949 0.1949
Lu2 Lu 0.6949 0.6949 0.6949
Se1 Se 0.0885 0.7999 0.4116
Se2 Se 0.2999 0.5885 0.9116
Se3 Se 0.4116 0.0885 0.7999
Se4 Se 0.5885 0.9116 0.2999
Se5 Se 0.7999 0.4116 0.0885
Se6 Se 0.9116 0.2999 0.5885
# formation energy without anion corrections = -1.84 eV/atom
# ΔE to the lowest computed polymorph = 0.039 eV/atom
# crystal system = trigonal
# size of the total moment = 0.00 μB/f.u.
# E = -6.13 eV/atom



Q: Among the records above, which one has the highest E?
A: HAuO2



Q: Number 2 is which compound?
A: LiMnB2Se



Q: Which of these has the lowest E?
A: Sr2TaCu2O6